Entry 1:
DFT (PBE-GGA) results for a relaxed structure of FeRe3.

- Uncorrected energy: -11.23 eV per atom
- Space-group type: No. 166
- Spin magnetization: 2.3 μB per formula unit
- E_form: 0.9 eV per formula unit

Unit cell a=2.654 b=5.089 c=5.315 alpha=121.48 beta=109.45 gamma=79.99
Each line ends with the local moment (μB).
Sites, in units of the cell vectors:
Re 0.500 0.500 0.000  -0.02
Re 0.500 0.500 0.500  -0.02
Re 0.000 0.000 0.500  -0.02
Fe 0.000 0.000 0.000  2.34

Entry 2:
DFT (PBE-GGA) results for a relaxed structure of Pr5Nd3Te8.

- Uncorrected energy: -5.39 eV per atom
- Space-group type: No. 166
- E_form (uncorrected): -1429.2 meV/atom
- Spin magnetization: 0.0 μB per formula unit

Unit cell a=9.040 b=9.040 c=9.043 alpha=60.01 beta=60.01 gamma=60.00
Sites, in units of the cell vectors:
Pr 0.500 0.500 0.000
Pr 0.500 0.000 0.000
Pr 0.000 0.000 0.000
Pr 0.500 0.500 0.500
Pr 0.000 0.500 0.000
Nd 0.000 0.500 0.500
Nd 0.500 0.000 0.500
Nd 0.000 0.000 0.500
Te 0.750 0.750 0.252
Te 0.751 0.751 0.747
Te 0.249 0.249 0.253
Te 0.750 0.248 0.252
Te 0.752 0.250 0.748
Te 0.250 0.752 0.748
Te 0.250 0.250 0.748
Te 0.248 0.750 0.252

Entry 3:
DFT (PBE-GGA) results for a relaxed structure of CsYHg2Cl8.

- Uncorrected energy: -3.26 eV per atom
- Space-group type: No. 2
- E_form (uncorrected): -1372.6 meV/atom
- Spin magnetization: 0.0 μB per formula unit

Unit cell a=6.682 b=7.123 c=9.680 alpha=66.58 beta=77.25 gamma=80.97
Sites, in units of the cell vectors:
Cl 0.773 0.179 0.174
Cl 0.227 0.821 0.826
Cl 0.441 0.260 0.507
Cl 0.127 0.717 0.248
Cl 0.873 0.283 0.752
Cl 0.559 0.740 0.493
Cl 0.311 0.231 0.974
Cl 0.689 0.769 0.026
Y 0.000 0.000 0.000
Cs 0.000 0.000 0.500
Hg 0.537 0.536 0.271
Hg 0.463 0.464 0.729

Entry 4:
DFT (PBE-GGA) results for a relaxed structure of PmTlCdNi.

- Uncorrected energy: -3.55 eV per atom
- Space-group type: No. 216
- Spin magnetization: 0.0 μB per formula unit
- E_form: -0.4 eV per formula unit

Unit cell a=5.004 b=5.004 c=5.004 alpha=60.00 beta=60.00 gamma=60.00
Sites, in units of the cell vectors:
Ni 0.750 0.750 0.750
Cd 0.000 0.000 0.000
Tl 0.250 0.250 0.250
Pm 0.500 0.500 0.500

Entry 5:
DFT (PBE-GGA) results for a relaxed structure of LiCa2Zn.

- Uncorrected energy: -1.74 eV per atom
- Space-group type: No. 216
- Spin magnetization: 0.0 μB per formula unit
- E_form: 0.2 eV per formula unit

Unit cell a=5.261 b=5.261 c=5.261 alpha=60.00 beta=60.00 gamma=60.00
Sites, in units of the cell vectors:
Ca 0.000 0.000 0.000
Ca 0.250 0.250 0.250
Zn 0.750 0.750 0.750
Li 0.500 0.500 0.500

Entry 6:
DFT (PBE-GGA) results for a relaxed structure of ScAg2B.

- Uncorrected energy: -4.20 eV per atom
- Space-group type: No. 122
- Spin magnetization: 0.0 μB per formula unit
- E_form: 1.9 eV per formula unit

Unit cell a=3.753 b=3.753 c=10.122 alpha=79.32 beta=79.32 gamma=90.00
Sites, in units of the cell vectors:
B 0.500 0.500 0.000
B 0.250 0.750 0.500
Ag 0.875 0.864 0.750
Ag 0.614 0.125 0.250
Ag 0.136 0.625 0.250
Ag 0.375 0.386 0.750
Sc 0.000 0.000 0.000
Sc 0.750 0.250 0.500

Entry 7:
DFT (PBE-GGA) results for a relaxed structure of NpFeP2Pd2.

- Uncorrected energy: -7.61 eV per atom
- Space-group type: No. 26
- Spin magnetization: 1.7 μB per formula unit
- E_form: -3.1 eV per formula unit

Unit cell a=4.012 b=6.393 c=7.299 alpha=90.00 beta=90.00 gamma=90.00
Each line ends with the local moment (μB).
Sites, in units of the cell vectors:
Pd 0.500 0.024 0.113  -0.03
Pd 0.000 0.355 0.125  -0.02
Pd 0.500 0.524 0.887  -0.03
Pd 0.000 0.855 0.875  -0.02
P 0.500 0.786 0.646  -0.07
P 0.000 0.727 0.173  0.01
P 0.000 0.227 0.827  0.01
P 0.500 0.286 0.354  -0.07
Np 0.000 0.505 0.542  3.41
Np 0.000 0.005 0.458  3.41
Fe 0.500 0.647 0.304  -1.83
Fe 0.500 0.147 0.696  -1.83

Entry 8:
DFT (PBE-GGA) results for a relaxed structure of Cs5ICl4.

- Uncorrected energy: -3.18 eV per atom
- Space-group type: No. 139
- E_form (uncorrected): -1864.3 meV/atom
- Spin magnetization: 0.0 μB per formula unit

Unit cell a=5.161 b=5.161 c=18.451 alpha=98.04 beta=98.04 gamma=90.00
Sites, in units of the cell vectors:
Cs 0.701 0.701 0.402
Cs 0.106 0.106 0.212
Cs 0.299 0.299 0.598
Cs 0.894 0.894 0.788
Cs 0.500 0.500 0.000
Cl 0.798 0.798 0.596
Cl 0.603 0.603 0.207
Cl 0.397 0.397 0.793
Cl 0.202 0.202 0.404
I 0.000 0.000 0.000

Entry 9:
DFT (PBE-GGA) results for a relaxed structure of CuSi2Pt.

- Uncorrected energy: -5.30 eV per atom
- Space-group type: No. 119
- E_form (uncorrected): -49.8 meV/atom
- Spin magnetization: 0.0 μB per formula unit

Unit cell a=4.680 b=4.680 c=4.680 alpha=132.00 beta=132.00 gamma=70.22
Sites, in units of the cell vectors:
Si 0.250 0.750 0.500
Si 0.000 0.000 0.000
Cu 0.500 0.500 0.000
Pt 0.750 0.250 0.500

Entry 10:
DFT (PBE-GGA) results for a relaxed structure of ScAlAu.

- Uncorrected energy: -5.04 eV per atom
- Space-group type: No. 216
- Spin magnetization: 0.0 μB per formula unit
- E_form: -1.8 eV per formula unit

Unit cell a=4.480 b=4.480 c=4.480 alpha=60.00 beta=60.00 gamma=60.00
Sites, in units of the cell vectors:
Al 0.500 0.500 0.500
Au 0.750 0.750 0.750
Sc 0.000 0.000 0.000

Entry 11:
DFT (PBE-GGA) results for a relaxed structure of NdHoTh2.

- Uncorrected energy: -5.98 eV per atom
- Space-group type: No. 123
- Spin magnetization: 0.0 μB per formula unit
- E_form: 0.3 eV per formula unit

Unit cell a=5.164 b=5.024 c=5.024 alpha=90.00 beta=90.00 gamma=90.00
Sites, in units of the cell vectors:
Th 0.000 0.500 0.000
Th 0.000 0.000 0.500
Nd 0.500 0.000 0.000
Ho 0.500 0.500 0.500

Q: uncorrected energy of number 2 (Pr5Nd3Te8)?
A: -5.39 eV per atom

Q: Which formula does entry 5 have?
A: LiCa2Zn

Q: Among the records above, which one has the highest spin magnetization?
A: FeRe3